(1)
The following is a DFT calculation (PBE) of a relaxed MnCoC crystal.

Properties
Formation energy   0.054 eV per atom
Space group   P2_1/c (14)

abc: 4.414 4.813 5.419
angles: 90.90 90.00 90.00
Site moments in Bohr magnetons follow the coordinates.
Positions (direct):
Mn 0.750 0.920 0.114  1.98
Mn 0.750 0.920 0.614  1.98
Mn 0.250 0.080 0.386  1.98
Mn 0.250 0.080 0.886  1.98
C 0.505 0.255 0.640  -0.09
C 0.495 0.745 0.360  -0.09
C 0.005 0.745 0.860  -0.09
C 0.995 0.255 0.140  -0.09
Co 0.256 0.582 0.618  0.70
Co 0.244 0.582 0.118  0.70
Co 0.744 0.418 0.382  0.70
Co 0.756 0.418 0.882  0.70



(2)
The following is a DFT calculation (PBE) of a relaxed CaOs2 crystal.

Properties
Formation energy   0.693 eV per atom
Space group   P-3m1 (164)

abc: 4.605 4.605 2.874
angles: 90.00 90.00 120.00
Positions (direct):
Os 0.667 0.333 0.506
Os 0.333 0.667 0.494
Ca 0.000 0.000 0.000



(3)
The following is a DFT calculation (PBE) of a relaxed Li2As crystal.

Properties
Formation energy   -0.461 eV per atom
Space group   Pnnm (58)
Offset from the most stable computed form   0.171 eV/atom

abc: 2.995 6.500 6.515
angles: 90.00 90.00 90.00
Positions (direct):
Li 0.000 0.729 0.275
Li 0.500 0.229 0.225
Li 0.000 0.271 0.725
Li 0.500 0.771 0.775
As 0.000 0.000 0.000
As 0.500 0.500 0.500



(4)
The following is a DFT calculation (PBE) of a relaxed K4U3AuSe8 crystal.

Properties
Space group   C2/m (12)

abc: 8.371 9.116 8.445
angles: 117.71 119.71 90.00
Site moments in Bohr magnetons follow the coordinates.
Positions (direct):
U 0.500 0.500 0.500  2.36
U 0.000 0.500 0.500  2.36
U 0.500 0.500 0.000  2.37
Se 0.272 0.297 0.036  -0.06
Se 0.764 0.297 0.036  -0.06
Se 0.236 0.703 0.964  -0.06
Se 0.265 0.292 0.529  -0.06
Se 0.756 0.292 0.512  -0.06
Se 0.735 0.708 0.471  -0.06
Se 0.244 0.708 0.488  -0.06
Se 0.728 0.703 0.964  -0.06
K 0.000 0.000 0.500  0.00
K 0.500 0.000 0.500  0.00
K 0.500 0.000 0.000  0.00
K 0.000 0.000 0.000  0.00
Au 0.000 0.500 0.000  -0.04



(5)
The following is a DFT calculation (PBE) of a relaxed AlTeRuN2 crystal.

Properties
Space group   P4/mmm (123)
Offset from the most stable computed form   0.347 eV/atom

abc: 3.701 3.701 6.187
angles: 90.00 90.00 90.00
Site moments in Bohr magnetons follow the coordinates.
Positions (direct):
Ru 0.500 0.500 0.500  0.34
Al 0.000 0.000 0.000  0.01
N 0.000 0.500 0.000  -0.21
N 0.500 0.000 0.000  -0.21
Te 0.000 0.000 0.500  -0.02



(6)
The following is a DFT calculation (PBE) of a relaxed Co2HgRh crystal.

Properties
Formation energy   0.301 eV per atom
Space group   Pm (6)

abc: 4.030 2.806 5.299
angles: 74.82 90.00 90.00
Site moments in Bohr magnetons follow the coordinates.
Positions (direct):
Rh 0.500 0.790 0.794  0.72
Hg 0.000 0.448 0.479  -0.02
Co 0.500 0.073 0.229  1.75
Co 0.000 0.189 0.999  1.85



(7)
The following is a DFT calculation (PBE) of a relaxed Pm2Y3Mg crystal.

Properties
Formation energy   -0.025 eV per atom
Space group   P4/mmm (123)

abc: 3.631 3.631 14.319
angles: 90.00 90.00 90.00
Positions (direct):
Y 0.000 0.000 0.647
Y 0.000 0.000 0.353
Y 0.000 0.000 0.000
Mg 0.500 0.500 0.500
Pm 0.500 0.500 0.822
Pm 0.500 0.500 0.178



(8)
The following is a DFT calculation (PBE) of a relaxed Ta3CuSn crystal.

Properties
Formation energy   0.932 eV per atom
Space group   Pm-3m (221)
Offset from the most stable computed form   0.000 eV/atom

abc: 4.660 4.660 4.660
angles: 90.00 90.00 90.00
Positions (direct):
Ta 0.500 0.000 0.000
Ta 0.000 0.000 0.500
Ta 0.000 0.500 0.000
Cu 0.000 0.000 0.000
Sn 0.500 0.500 0.500



(9)
The following is a DFT calculation (PBE) of a relaxed NaTcMo2 crystal.

Properties
Formation energy   0.845 eV per atom
Space group   Fm-3m (225)
Offset from the most stable computed form   0.000 eV/atom

abc: 4.478 4.478 4.478
angles: 60.00 60.00 60.00
Positions (direct):
Na 0.000 0.000 0.000
Tc 0.500 0.500 0.500
Mo 0.250 0.250 0.250
Mo 0.750 0.750 0.750



(10)
The following is a DFT calculation (PBE) of a relaxed Sn2RhI crystal.

Properties
Space group   I-42d (122)
Offset from the most stable computed form   0.231 eV/atom

abc: 6.714 6.714 7.952
angles: 65.03 65.03 90.00
Positions (direct):
Sn 0.875 0.775 0.750
Sn 0.375 0.475 0.750
Sn 0.225 0.625 0.250
Sn 0.525 0.125 0.250
Rh 0.250 0.750 0.500
Rh 0.500 0.500 0.000
I 0.000 0.000 0.000
I 0.750 0.250 0.500



(11)
The following is a DFT calculation (PBE) of a relaxed InGe2PC crystal.

Properties
Formation energy   0.850 eV per atom
Space group   P4/mmm (123)

abc: 4.903 3.689 4.903
angles: 90.00 90.00 90.00
Positions (direct):
Ge 0.000 0.000 0.500
Ge 0.500 0.000 0.000
In 0.500 0.500 0.500
P 0.000 0.500 0.000
C 0.000 0.000 0.000



(12)
The following is a DFT calculation (PBE) of a relaxed CoNi2Sn6 crystal.

Properties
Formation energy   -0.043 eV per atom
Space group   P-31m (162)
Offset from the most stable computed form   0.000 eV/atom

abc: 5.913 6.202 6.202
angles: 120.00 90.00 90.00
Positions (direct):
Sn 0.767 0.000 0.340
Sn 0.233 0.000 0.660
Sn 0.233 0.660 0.000
Sn 0.767 0.660 0.660
Sn 0.233 0.340 0.340
Sn 0.767 0.340 0.000
Ni 0.500 0.667 0.333
Ni 0.500 0.333 0.667
Co 0.000 0.000 0.000



(13)
The following is a DFT calculation (PBE) of a relaxed YIn2Cl crystal.

Properties
Space group   I-42d (122)
Offset from the most stable computed form   0.250 eV/atom

abc: 4.118 4.118 12.922
angles: 80.83 80.83 90.00
Positions (direct):
In 0.635 0.125 0.250
In 0.115 0.625 0.250
In 0.375 0.365 0.750
In 0.875 0.885 0.750
Y 0.000 0.000 0.000
Y 0.750 0.250 0.500
Cl 0.250 0.750 0.500
Cl 0.500 0.500 0.000



(14)
The following is a DFT calculation (PBE) of a relaxed Sm3ScCu4 crystal.

Properties
Formation energy   -0.191 eV per atom
Space group   P4/mmm (123)

abc: 3.468 3.468 13.942
angles: 90.00 90.00 90.00
Positions (direct):
Cu 0.000 0.000 0.629
Cu 0.000 0.000 0.371
Cu 0.000 0.000 0.898
Cu 0.000 0.000 0.102
Sm 0.500 0.500 0.500
Sm 0.500 0.500 0.759
Sm 0.500 0.500 0.241
Sc 0.500 0.500 0.000



(15)
The following is a DFT calculation (PBE) of a relaxed Cs2BePtF crystal.

Properties
Space group   P4/mmm (123)

abc: 6.514 4.286 6.514
angles: 90.00 90.00 90.00
Positions (direct):
Pt 0.000 0.000 0.000
F 0.500 0.500 0.500
Cs 0.000 0.000 0.500
Cs 0.500 0.000 0.000
Be 0.000 0.500 0.000



(16)
The following is a DFT calculation (PBE) of a relaxed Tm6Fe2Hg crystal.

Properties
Formation energy   -0.177 eV per atom
Space group   Immm (71)

abc: 8.237 8.237 8.237
angles: 107.05 109.55 111.85
Site moments in Bohr magnetons follow the coordinates.
Positions (direct):
Tm 0.784 0.775 0.560  -0.01
Tm 0.704 0.390 0.686  -0.07
Tm 0.519 0.707 0.811  -0.01
Tm 0.104 0.293 0.811  -0.01
Tm 0.896 0.707 0.189  -0.01
Tm 0.481 0.293 0.189  -0.01
Tm 0.216 0.775 0.991  -0.01
Tm 0.296 0.610 0.314  -0.07
Tm 0.784 0.225 0.009  -0.01
Tm 0.704 0.018 0.314  -0.07
Tm 0.296 0.982 0.686  -0.07
Tm 0.216 0.225 0.440  -0.01
Fe 0.614 0.000 0.614  0.93
Fe 0.500 0.609 0.109  -0.14
Fe 0.386 0.000 0.386  0.93
Fe 0.500 0.391 0.891  -0.14
Hg 0.000 0.500 0.500  0.01
Hg 0.000 0.000 0.000  -0.01



(17)
The following is a DFT calculation (PBE) of a relaxed K4ThSe4 crystal.

Properties
Space group   C2/m (12)

abc: 4.529 8.171 10.039
angles: 75.48 76.96 73.91
Positions (direct):
Se 0.693 0.876 0.738
Se 0.930 0.243 0.897
Se 0.070 0.757 0.103
Se 0.307 0.124 0.262
K 0.704 0.420 0.171
K 0.131 0.139 0.599
K 0.869 0.861 0.401
K 0.296 0.580 0.829
Th 0.500 0.000 0.000



(18)
The following is a DFT calculation (PBE) of a relaxed FeBr3 crystal.

Properties
Space group   P-6m2 (187)

abc: 3.473 3.473 10.552
angles: 90.00 90.00 120.00
Site moments in Bohr magnetons follow the coordinates.
Positions (direct):
Fe 0.667 0.333 0.750  3.46
Br 0.667 0.333 0.250  0.04
Br 0.000 0.000 0.593  0.24
Br 0.000 0.000 0.907  0.24



(19)
The following is a DFT calculation (PBE) of a relaxed Ba2AcHg crystal.

Properties
Formation energy   -0.113 eV per atom
Space group   R3m (160)
Offset from the most stable computed form   0.072 eV/atom

abc: 4.274 4.274 12.126
angles: 79.85 79.85 60.00
Positions (direct):
Ba 0.262 0.262 0.213
Ba 0.071 0.071 0.786
Ac 0.500 0.500 0.501
Hg 0.667 0.667 0.000



(20)
The following is a DFT calculation (PBE) of a relaxed ZrFeRh2N crystal.

Properties
Space group   P4/mmm (123)

abc: 4.223 3.777 4.223
angles: 90.00 90.00 90.00
Site moments in Bohr magnetons follow the coordinates.
Positions (direct):
Fe 0.000 0.500 0.000  1.55
Rh 0.500 0.000 0.000  -0.06
Rh 0.000 0.000 0.500  0.03
Zr 0.500 0.500 0.500  -0.16
N 0.000 0.000 0.000  0.02



How do the records compare in raw total energy? In the order shown, they have -8.446; -7.460; -3.287; -5.428; -5.457; -5.165; -5.106; -7.799; -7.491; -4.215; -4.471; -4.786; -3.929; -4.800; -3.339; -5.072; -4.251; -3.469; -2.177; -8.259 eV per atom.